CaAgSb3 at its PBEsol-relaxed geometry. Source: the Alexandria database, functional meta-GGA SCAN.

Values from the calculation:
Raw formation energy in meV per atom: 829

Cell lengths 5.568, 5.568, 5.568 Å; angles 90.00, 90.00, 90.00 degrees
Space group Pm-3m (No. 221)
Unique sites:
Ca 0.000 0.000 0.000 [1 per cell]
Ag 0.500 0.500 0.500 [1 per cell]
Sb 0.000 0.000 0.500 [3 per cell]

Ca2ScAg at its PBEsol-relaxed geometry. Source: the Alexandria database, functional meta-GGA SCAN.

Values from the calculation:
DFT formation energy in eV per atom: 0.0555

Cell lengths 3.7266, 3.7266, 30.0880 Å; angles 90.00, 90.00, 120.00 degrees
Space group R3m (No. 160, hexagonal axes)
Unique sites:
Ca 0.0000 0.0000 0.0000 [3 per cell]
Ca 0.0000 0.0000 0.2245 [3 per cell]
Sc 0.0000 0.0000 0.7625 [3 per cell]
Ag 0.0000 0.0000 0.4865 [3 per cell]

no.,total magnetization (μB/f.u.),DFT total energy (eV/atom)
1,0.0,-29.7336
2,0.4,-16.1772